No. 1
Material: LiFeOsW
Method: DFT, PBE-GGA
State: optimized geometry

Computed properties:
Fermi-level density of states ... 0.973 states/eV/atom
Spin magnetization ... 0.047 μB/f.u.
DFT formation energy ... 0.117 eV/atom

Cell lengths 5.9494, 5.9494, 5.9494 Å; angles 90.00, 90.00, 90.00 degrees
Space group F-43m (No. 216)
Inequivalent atoms, fractional coordinates:
Li: 0.0000 0.0000 0.0000 (multiplicity 4)
Fe: 0.2500 0.2500 0.7500 (multiplicity 4)
Os: 0.2500 0.2500 0.2500 (multiplicity 4)
W: 0.0000 0.0000 0.5000 (multiplicity 4)

***

No. 2
Material: LiZn2FeOs
Method: DFT, PBE-GGA
State: optimized geometry

Computed properties:
Fermi-level density of states ... 0.560 states/eV/atom
Spin magnetization ... 3.213 μB/f.u.
DFT formation energy ... 0.931 eV/atom

Cell lengths 4.0621, 4.0621, 4.2619 Å; angles 90.00, 90.00, 90.00 degrees
Space group P4/mmm (No. 123)
Inequivalent atoms, fractional coordinates:
Li: 0.0000 0.0000 0.0000 (multiplicity 1)
Zn: 0.0000 0.5000 0.0000 (multiplicity 2)
Fe: 0.5000 0.5000 0.5000 (multiplicity 1)
Os: 0.0000 0.0000 0.5000 (multiplicity 1)

***

No. 3
Material: LiFeP2
Method: DFT, PBE-GGA
State: optimized geometry

Computed properties:
Fermi-level density of states ... 0.478 states/eV/atom
Spin magnetization ... 1.017 μB/f.u.
E above lowest polymorph ... 0.07 eV/f.u.
DFT formation energy ... -0.342 eV/atom

Cell lengths 7.0469, 3.1214, 5.1615 Å; angles 90.00, 102.95, 90.00 degrees
Space group C2/m (No. 12)
Inequivalent atoms, fractional coordinates:
Li: 0.0000 0.0000 0.0000 (multiplicity 2)
Fe: 0.0000 0.5000 0.5000 (multiplicity 2)
P: 0.2335 0.0000 0.6757 (multiplicity 4)

***

No. 4
Material: LiFe2P2
Method: DFT, PBE-GGA
State: optimized geometry

Computed properties:
Fermi-level density of states ... 0.503 states/eV/atom
Spin magnetization ... 0.000 μB/f.u.
DFT formation energy ... -0.163 eV/atom

Cell lengths 3.6184, 3.6184, 9.7609 Å; angles 90.00, 90.00, 90.00 degrees
Space group I4/mmm (No. 139)
Inequivalent atoms, fractional coordinates:
Li: 0.0000 0.0000 0.0000 (multiplicity 2)
Fe: 0.0000 0.0000 0.3810 (multiplicity 4)
P: 0.0000 0.5000 0.2500 (multiplicity 4)

***

No. 5
Material: Li2FeP
Method: DFT, PBE-GGA
State: optimized geometry

Computed properties:
Fermi-level density of states ... 0.575 states/eV/atom
Spin magnetization ... 2.165 μB/f.u.
DFT formation energy ... -0.112 eV/atom

Cell lengths 2.6766, 4.0030, 4.6434 Å; angles 90.00, 90.00, 90.00 degrees
Space group Pmmm (No. 47)
Inequivalent atoms, fractional coordinates:
Li: 0.0000 0.0000 0.2435 (multiplicity 2)
Fe: 0.5000 0.5000 0.5000 (multiplicity 1)
P: 0.5000 0.5000 0.0000 (multiplicity 1)

***

No. 6
Material: LiFeP2
Method: DFT, PBE-GGA
State: optimized geometry

Computed properties:
Fermi-level density of states ... 0.649 states/eV/atom
Spin magnetization ... 1.913 μB/f.u.
E above lowest polymorph ... 1.21 eV/f.u.
DFT formation energy ... -0.057 eV/atom

Cell lengths 5.1641, 6.9138, 2.7454 Å; angles 90.00, 94.97, 90.00 degrees
Space group C2/m (No. 12)
Inequivalent atoms, fractional coordinates:
Li: 0.0000 0.0000 0.0000 (multiplicity 2)
Fe: 0.0000 0.5000 0.0000 (multiplicity 2)
P: 0.2500 0.2500 0.5000 (multiplicity 4)

***

No. 7
Material: LiFeP2
Method: DFT, PBE-GGA
State: optimized geometry

Computed properties:
Fermi-level density of states ... 0.466 states/eV/atom
Spin magnetization ... 0.000 μB/f.u.
E above lowest polymorph ... 1.17 eV/f.u.
DFT formation energy ... -0.067 eV/atom

Cell lengths 5.6256, 5.6256, 9.7931 Å; angles 90.00, 90.00, 90.00 degrees
Space group I-42d (No. 122)
Inequivalent atoms, fractional coordinates:
Li: 0.0000 0.0000 0.0000 (multiplicity 4)
Fe: 0.0000 0.0000 0.5000 (multiplicity 4)
P: 0.1729 0.2500 0.6250 (multiplicity 8)

***

No. 8
Material: LiFeP2
Method: DFT, PBE-GGA
State: optimized geometry

Computed properties:
Fermi-level density of states ... 0.582 states/eV/atom
Spin magnetization ... 1.697 μB/f.u.
E above lowest polymorph ... 1.07 eV/f.u.
DFT formation energy ... -0.091 eV/atom

Cell lengths 3.2225, 3.2225, 4.6446 Å; angles 90.00, 90.00, 90.00 degrees
Space group P4mm (No. 99)
Inequivalent atoms, fractional coordinates:
Li: 0.0000 0.0000 0.0000 (multiplicity 1)
Fe: 0.5000 0.5000 0.6996 (multiplicity 1)
P: 0.0000 0.0000 0.5049 (multiplicity 1)
P: 0.5000 0.5000 0.2065 (multiplicity 1)

***

No. 9
Material: LiFeP2
Method: DFT, PBE-GGA
State: optimized geometry

Computed properties:
Fermi-level density of states ... 0.507 states/eV/atom
Spin magnetization ... 0.000 μB/f.u.
E above lowest polymorph ... 0.21 eV/f.u.
DFT formation energy ... -0.308 eV/atom

Cell lengths 2.6077, 3.2606, 12.7925 Å; angles 90.00, 90.00, 90.00 degrees
Space group Imm2 (No. 44)
Inequivalent atoms, fractional coordinates:
Li: 0.0000 0.0000 0.0000 (multiplicity 2)
Fe: 0.0000 0.5000 0.2703 (multiplicity 2)
P: 0.0000 0.0000 0.6269 (multiplicity 2)
P: 0.0000 0.5000 0.8435 (multiplicity 2)

***

No. 10
Material: Li2FeP
Method: DFT, PBE-GGA
State: optimized geometry

Computed properties:
Fermi-level density of states ... 0.361 states/eV/atom
Spin magnetization ... 1.653 μB/f.u.
DFT formation energy ... -0.194 eV/atom

Cell lengths 2.8358, 3.7812, 8.7353 Å; angles 90.00, 90.00, 90.00 degrees
Space group Immm (No. 71)
Inequivalent atoms, fractional coordinates:
Li: 0.0000 0.0000 0.2321 (multiplicity 4)
Fe: 0.0000 0.5000 0.0000 (multiplicity 2)
P: 0.0000 0.5000 0.5000 (multiplicity 2)

***

No. 11
Material: Li2FeP
Method: DFT, PBE-GGA
State: optimized geometry

Computed properties:
Fermi-level density of states ... 0.437 states/eV/atom
Spin magnetization ... 1.615 μB/f.u.
DFT formation energy ... -0.123 eV/atom

Cell lengths 2.6697, 4.2533, 4.4270 Å; angles 90.00, 105.81, 90.00 degrees
Space group P2/m (No. 10)
Inequivalent atoms, fractional coordinates:
Li: 0.1839 0.0000 0.2582 (multiplicity 2)
Fe: 0.5000 0.5000 0.0000 (multiplicity 1)
P: 0.0000 0.5000 0.5000 (multiplicity 1)

***

No. 12
Material: Li2FeP
Method: DFT, PBE-GGA
State: optimized geometry

Computed properties:
Fermi-level density of states ... 0.511 states/eV/atom
Spin magnetization ... 2.457 μB/f.u.
DFT formation energy ... -0.017 eV/atom

Cell lengths 2.5299, 2.5299, 8.1868 Å; angles 90.00, 90.00, 90.00 degrees
Space group P4/mmm (No. 123)
Inequivalent atoms, fractional coordinates:
Li: 0.0000 0.0000 0.2308 (multiplicity 2)
Fe: 0.5000 0.5000 0.5000 (multiplicity 1)
P: 0.5000 0.5000 0.0000 (multiplicity 1)

***

Question: Which formula does entry 12 have?
Answer: Li2FeP